1.
Entry from Alexandria: Ba4CdPb3O12 after structural relaxation (PBE).

The value obtained for the total energy is -5.509 eV/atom. The calculation puts the total magnetic moment at 0.00 μB/cell. As for the space group: No. 229.

```
Ba4CdPb3O12
1.0
-4.351 4.351 4.351
4.351 -4.351 4.351
4.351 4.351 -4.351
Ba Cd Pb O
4 1 3 12
direct
0.000 0.000 0.500 Ba
0.000 0.500 0.000 Ba
0.500 0.000 0.000 Ba
0.500 0.500 0.500 Ba
0.000 0.000 0.000 Cd
0.000 0.500 0.500 Pb
0.500 0.000 0.500 Pb
0.500 0.500 0.000 Pb
0.000 0.256 0.256 O
0.000 0.744 0.744 O
0.250 0.500 0.750 O
0.250 0.750 0.500 O
0.256 0.000 0.256 O
0.256 0.256 0.000 O
0.500 0.250 0.750 O
0.500 0.750 0.250 O
0.744 0.000 0.744 O
0.744 0.744 0.000 O
0.750 0.250 0.500 O
0.750 0.500 0.250 O
```


2.
Entry from Alexandria: Ba3Cd2PbO6 after structural relaxation (PBE).

The value obtained for the total energy is -4.999 eV/atom. The calculation puts the total magnetic moment at 0.00 μB/cell. As for the space group: No. 164.

```
Ba3Cd2PbO6
1.0
6.249 0.000 0.000
-3.125 5.412 0.000
0.000 0.000 7.096
Ba Cd Pb O
3 2 1 6
direct
0.000 0.000 0.000 Ba
0.333 0.667 0.616 Ba
0.667 0.333 0.384 Ba
0.333 0.667 0.138 Cd
0.667 0.333 0.862 Cd
0.000 0.000 0.500 Pb
0.164 0.329 0.315 O
0.164 0.836 0.315 O
0.329 0.164 0.685 O
0.671 0.836 0.315 O
0.836 0.164 0.685 O
0.836 0.671 0.685 O
```